Record 1
# GGA-PBE Mo, relaxed
data_Mo
_space_group_name_H-M_alt 'P 63/m m c'
_space_group_IT_number 194
_space_group_name_Hall '-P 6c 2c'
_cell_length_a 4.2762
_cell_length_b 4.2762
_cell_length_c 4.9481
_cell_angle_alpha 90.00
_cell_angle_beta 90.00
_cell_angle_gamma 120.00
loop_
_atom_site_label
_atom_site_type_symbol
_atom_site_fract_x
_atom_site_fract_y
_atom_site_fract_z
Mo1 Mo 0.0000 0.0000 0.2500
Mo2 Mo 0.3333 0.6667 0.2500
# Excess energy over the best structure of this formula in the dataset   1.27 eV per formula unit
# Mass density   8.1 g cm⁻³

---

Record 2
# GGA-PBE Ca8As3PI4, relaxed
data_Ca8As3PI4
_space_group_name_H-M_alt 'R -3 m'
_space_group_IT_number 166
_space_group_name_Hall '-R 3 2"'
_cell_length_a 8.7539
_cell_length_b 8.7539
_cell_length_c 22.4933
_cell_angle_alpha 90.00
_cell_angle_beta 90.00
_cell_angle_gamma 120.00
loop_
_atom_site_label
_atom_site_type_symbol
_atom_site_fract_x
_atom_site_fract_y
_atom_site_fract_z
Ca1 Ca 0.0000 0.0000 0.2312
Ca2 Ca 0.0046 0.5023 0.2306
As1 As 0.0000 0.5000 0.5000
P1 P 0.0000 0.0000 0.5000
I1 I 0.0000 0.0000 0.0000
I2 I 0.0000 0.5000 0.0000
# Formation energy without anion corrections   -1.40 eV per atom
# Mass density   3.6 g cm⁻³